Entry from Alexandria: a geometry-optimized CaH2Pd2 structure (PBE).

Properties
VASP energy ... -21.05 eV for the cell shown
D(E_F) ... 2.0 states/eV/f.u.
Offset from the most stable computed form ... 98 meV/atom

abc: 3.7292 3.7292 5.3259
angles: 69.51 69.51 90.00
Closest atoms and distances in Å follow each position.
Sites, in units of the cell vectors:
H  0.7500  0.2500  0.5000  4 Pd 1.97
H  0.2500  0.7500  0.5000  4 Pd 1.97
Ca  0.0000  0.0000  0.0000  10 Pd 2.93-3.13, 8 H 2.97
Pd  0.3170  0.3170  0.3659  4 H 1.97
Pd  0.6830  0.6830  0.6341  4 H 1.97